No. 1
The following is a GGA-PBE calculation of a relaxed structure of K5ZrS5, from Alexandria.

Calculated total energy: -4.263 eV per atom
Magnetic moment: 1.16 μB per formula unit
V: 345 Å³/cell

a b c (Å): 7.802 7.802 8.550
angles (deg): 107.39 107.39 44.46
Sites, in units of the cell vectors:
K1 0.000 0.000 0.000
K2 0.305 0.305 0.189
K3 0.324 0.324 0.647
K4 0.676 0.676 0.353
K5 0.695 0.695 0.811
Zr1 0.000 0.000 0.500
S1 0.128 0.128 0.355
S2 0.137 0.137 0.783
S3 0.500 0.500 0.500
S4 0.863 0.863 0.217
S5 0.872 0.872 0.645

---

No. 2
The following is a GGA-PBE calculation of a relaxed structure of BaGaGe2Mo, from Alexandria.

Calculated total energy: -5.276 eV per atom
Magnetic moment: 0.00 μB per formula unit
Energy of formation: -0.27 eV per atom
V: 123 Å³/cell

a b c (Å): 4.954 4.954 5.004
angles (deg): 90.00 90.00 90.00
Sites, in units of the cell vectors:
Ba1 0.000 0.000 0.000
Ga1 0.500 0.500 0.000
Ge1 0.000 0.500 0.500
Ge2 0.500 0.000 0.500
Mo1 0.500 0.500 0.500

---

No. 3
The following is a GGA-PBE calculation of a relaxed structure of Li3AsH, from Alexandria.

Calculated total energy: -2.744 eV per atom
Magnetic moment: 1.00 μB per formula unit
V: 115 Å³/cell

a b c (Å): 4.867 4.867 4.867
angles (deg): 90.00 90.00 90.00
Sites, in units of the cell vectors:
Li1 0.000 0.000 0.500
Li2 0.000 0.500 0.000
Li3 0.500 0.000 0.000
As1 0.000 0.000 0.000
H1 0.500 0.500 0.500